Material: Nb2IrPd
Method: DFT, PBE-GGA
State: relaxed

Cell lengths 2.8520, 2.8520, 8.0367 Å; angles 90.00, 90.00, 90.00 degrees
With the nearest neighbours (Å) after each atom.
Atoms (fractional coordinates):
Nb1 0.0000 0.0000 0.2585  4 Ir 2.80, 4 Nb 2.85, 4 Pd 2.90
Nb2 0.0000 0.0000 0.7415  4 Ir 2.80, 4 Nb 2.85, 4 Pd 2.90
Ir1 0.5000 0.5000 0.5000  8 Nb 2.80, 4 Ir 2.85
Pd1 0.5000 0.5000 0.0000  4 Pd 2.85, 8 Nb 2.90

The calculation puts the theoretical density at 12.3 g/cm3. As for the spin magnetization: 0.0 Bohr magnetons per cell. For the energy relative to the elements, the calculation gives -0.44 eV/atom. The value obtained for the energy is -35.94 eV per cell.

Material: ErTm4Tl2
Method: DFT, PBE-GGA
State: relaxed

Cell lengths 5.1885, 5.1885, 10.0115 Å; angles 74.98, 74.98, 60.00 degrees
With the nearest neighbours (Å) after each atom.
Atoms (fractional coordinates):
Er1 0.5000 0.5000 0.5000  2 Tl 2.98, 6 Tm 3.29
Tm1 0.7125 0.7125 0.8626  4 Tl 3.03-3.10
Tm2 0.8805 0.8805 0.3584  3 Er 3.29, 3 Tl 3.41, 3 Tm 3.66
Tm3 0.2875 0.2875 0.1374  4 Tl 3.03-3.10
Tm4 0.1195 0.1195 0.6416  3 Er 3.29, 3 Tl 3.41, 3 Tm 3.66
Tl1 0.6041 0.6041 0.1876  1 Er 2.98, 4 Tm 3.03-3.10
Tl2 0.3959 0.3959 0.8124  1 Er 2.98, 4 Tm 3.03-3.10

The energy above the most stable polymorph in this dataset is 0.94 eV per formula unit. The calculation puts the theoretical density at 9.3 g/cm3. As for the spin magnetization: 0.0 Bohr magnetons per cell. For the energy relative to the elements, the calculation gives 0.11 eV/atom. The value obtained for the energy is -26.42 eV per cell.

Material: Rb3Cd4Pt2
Method: DFT, PBE-GGA
State: relaxed

Cell lengths 4.8148, 6.9023, 9.9734 Å; angles 108.74, 90.00, 110.41 degrees
With the nearest neighbours (Å) after each atom.
Atoms (fractional coordinates):
Rb1 0.3804 0.7609 0.6274  6 Cd 3.65-3.73, 2 Pt 3.72-3.86
Rb2 0.0000 0.0000 0.0000  8 Cd 3.74-4.16, 2 Pt 3.90
Rb3 0.6196 0.2391 0.3726  6 Cd 3.65-3.73, 2 Pt 3.72-3.86
Cd1 0.7342 0.4684 0.0763  3 Pt 2.80-2.81, 3 Cd 2.92-2.95
Cd2 0.0958 0.1916 0.6418  2 Pt 2.82, 2 Cd 2.92-3.06
Cd3 0.9042 0.8084 0.3582  2 Pt 2.82, 2 Cd 2.92-3.06
Cd4 0.2658 0.5316 0.9237  3 Pt 2.80-2.81, 3 Cd 2.92-2.95
Pt1 0.3140 0.6280 0.2194  5 Cd 2.80-2.82
Pt2 0.6860 0.3720 0.7806  5 Cd 2.80-2.82

The calculation puts the theoretical density at 6.2 g/cm3. As for the spin magnetization: 0.0 Bohr magnetons per cell. For the energy relative to the elements, the calculation gives -0.16 eV/atom. The value obtained for the energy is -20.04 eV per cell.

Material: Pu3Ru5N12
Method: DFT, PBE-GGA
State: relaxed

Cell lengths 10.8635, 10.8635, 10.8635 Å; angles 109.47, 109.47, 109.47 degrees
With the nearest neighbours (Å) after each atom.
Atoms (fractional coordinates):
Pu1 0.7500 0.3750 0.1250  8 N 2.37-2.50
Pu2 0.8750 0.7500 0.1250  8 N 2.37-2.50
Pu3 0.3750 0.7500 0.6250  8 N 2.37-2.50
Pu4 0.2500 0.1250 0.3750  8 N 2.37-2.50
Pu5 0.8750 0.1250 0.2500  8 N 2.37-2.50
Pu6 0.3750 0.6250 0.2500  8 N 2.37-2.50
Pu7 0.6250 0.3750 0.7500  8 N 2.37-2.50
Pu8 0.1250 0.8750 0.7500  8 N 2.37-2.50
Pu9 0.7500 0.8750 0.6250  8 N 2.37-2.50
Pu10 0.6250 0.2500 0.3750  8 N 2.37-2.50
Pu11 0.1250 0.2500 0.8750  8 N 2.37-2.50
Pu12 0.2500 0.6250 0.8750  8 N 2.37-2.50
Ru1 0.1250 0.3750 0.2500  4 N 1.86
Ru2 0.0000 0.5000 0.0000  6 N 2.05
Ru3 0.0000 0.0000 0.0000  6 N 2.05
Ru4 0.3750 0.2500 0.1250  4 N 1.86
Ru5 0.5000 0.0000 0.5000  6 N 2.05
Ru6 0.5000 0.5000 0.0000  6 N 2.05
Ru7 0.1250 0.7500 0.3750  4 N 1.86
Ru8 0.7500 0.1250 0.8750  4 N 1.86
Ru9 0.7500 0.6250 0.3750  4 N 1.86
Ru10 0.3750 0.1250 0.7500  4 N 1.86
Ru11 0.6250 0.8750 0.2500  4 N 1.86
Ru12 0.5000 0.5000 0.5000  6 N 2.05
Ru13 0.5000 0.0000 0.0000  6 N 2.05
Ru14 0.0000 0.0000 0.5000  6 N 2.05
Ru15 0.2500 0.3750 0.6250  4 N 1.86
Ru16 0.2500 0.8750 0.1250  4 N 1.86
Ru17 0.0000 0.5000 0.5000  6 N 2.05
Ru18 0.8750 0.2500 0.6250  4 N 1.86
Ru19 0.6250 0.7500 0.8750  4 N 1.86
Ru20 0.8750 0.6250 0.7500  4 N 1.86
N1 0.7064 0.1246 0.0269  2 Ru 1.86-2.05
N2 0.3205 0.5269 0.4022  2 Ru 1.86-2.05
N3 0.9731 0.3754 0.2936  2 Ru 1.86-2.05
N4 0.5269 0.2064 0.1246  2 Ru 1.86-2.05
N5 0.5818 0.7064 0.6795  2 Ru 1.86-2.05
N6 0.9731 0.5978 0.1795  2 Ru 1.86-2.05
N7 0.3205 0.7936 0.4182  2 Ru 1.86-2.05
N8 0.0978 0.9182 0.1246  2 Ru 1.86-2.05
N9 0.5978 0.9731 0.6795  2 Ru 1.86-2.05
N10 0.7064 0.5818 0.1795  2 Ru 1.86-2.05
N11 0.7936 0.4731 0.3754  2 Ru 1.86-2.05
N12 0.8205 0.9022 0.0269  2 Ru 1.86-2.05
N13 0.1246 0.7064 0.5269  2 Ru 1.86-2.05
N14 0.3754 0.4022 0.0818  2 Ru 1.86-2.05
N15 0.0818 0.9022 0.3754  2 Ru 1.86-2.05
N16 0.4182 0.1246 0.5978  2 Ru 1.86-2.05
N17 0.0818 0.1795 0.2064  2 Ru 1.86-2.05
N18 0.4731 0.6795 0.0978  2 Ru 1.86-2.05
N19 0.8205 0.9182 0.2936  2 Ru 1.86-2.05
N20 0.1246 0.4182 0.0978  2 Ru 1.86-2.05
N21 0.3754 0.9731 0.7936  2 Ru 1.86-2.05
N22 0.5978 0.6246 0.4182  2 Ru 1.86-2.05
N23 0.9022 0.8205 0.5269  2 Ru 1.86-2.05
N24 0.7936 0.3205 0.9182  2 Ru 1.86-2.05
N25 0.4022 0.3754 0.5818  2 Ru 1.86-2.05
N26 0.0978 0.1795 0.4731  2 Ru 1.86-2.05
N27 0.2064 0.6795 0.0818  2 Ru 1.86-2.05
N28 0.1795 0.0818 0.7064  2 Ru 1.86-2.05
N29 0.6246 0.0269 0.2064  2 Ru 1.86-2.05
N30 0.8754 0.5818 0.9022  2 Ru 1.86-2.05
N31 0.5269 0.3205 0.9022  2 Ru 1.86-2.05
N32 0.5818 0.8754 0.4022  2 Ru 1.86-2.05
N33 0.9182 0.8205 0.7936  2 Ru 1.86-2.05
N34 0.9182 0.0978 0.6246  2 Ru 1.86-2.05
N35 0.8754 0.2936 0.4731  2 Ru 1.86-2.05
N36 0.1795 0.0978 0.9731  2 Ru 1.86-2.05
N37 0.6246 0.5978 0.9182  2 Ru 1.86-2.05
N38 0.4022 0.0269 0.3205  2 Ru 1.86-2.05
N39 0.2936 0.4182 0.8205  2 Ru 1.86-2.05
N40 0.2064 0.5269 0.6246  2 Ru 1.86-2.05
N41 0.9022 0.0818 0.8754  2 Ru 1.86-2.05
N42 0.6795 0.2064 0.5818  2 Ru 1.86-2.05
N43 0.4731 0.7936 0.8754  2 Ru 1.86-2.05
N44 0.0269 0.4022 0.8205  2 Ru 1.86-2.05
N45 0.4182 0.2936 0.3205  2 Ru 1.86-2.05
N46 0.0269 0.6246 0.7064  2 Ru 1.86-2.05
N47 0.6795 0.4731 0.5978  2 Ru 1.86-2.05
N48 0.2936 0.8754 0.9731  2 Ru 1.86-2.05

The calculation puts the theoretical density at 9.5 g/cm3. The calculation puts the uncorrected formation energy at -2.86 kcal/mol of atoms. As for the spin magnetization: 52.8 Bohr magnetons per cell. The value obtained for the energy is -767.03 eV per cell.

- Among the records above, which one has the highest theoretical density?
  Nb2IrPd

- Which value of energy does entry 1 give?
  -35.94 eV per cell

- Which value of energy does entry 3 give?
  -20.04 eV per cell

- spin magnetization of number 1 (Nb2IrPd)?
  0.0 Bohr magnetons per cell